Record 1
# CaNdP2, optimized geometry, DFT PBE-GGA
# - magnetic moment (μB/f.u.) = 0.00
# - energy of formation (eV/f.u.) = -4.5
# - energy (eV/atom) = -5.53
# - N(E_F) (states/eV per atom) = 1.067
# - ΔE to the lowest computed polymorph (eV per atom) = 0.000
data_CaNdP2
_chemical_formula_sum 'Ca1 Nd1 P2'
_symmetry_space_group_name_H-M 'P 1'
_symmetry_Int_Tables_number 1
_symmetry_space_group_name_Hall 'P 1'
_cell_length_a 4.155
_cell_length_b 4.155
_cell_length_c 7.220
_cell_angle_alpha 73.28
_cell_angle_beta 73.28
_cell_angle_gamma 60.00
loop_
_atom_site_label
_atom_site_type_symbol
_atom_site_fract_x
_atom_site_fract_y
_atom_site_fract_z
Ca1 Ca 0.000 0.000 0.000
P1 P 0.752 0.752 0.745
P2 P 0.248 0.248 0.255
Nd1 Nd 0.500 0.500 0.500

---

Record 2
# AlSbN2, optimized geometry, DFT PBE-GGA
# - magnetic moment (μB/f.u.) = 0.00
# - formation energy (no corrections) (eV per atom) = 0.269
# - energy (eV/atom) = -5.86
# - N(E_F) (states/eV per atom) = 0.000
# - ΔE to the lowest computed polymorph (eV per atom) = 0.349
data_AlSbN2
_chemical_formula_sum 'Al1 Sb1 N2'
_symmetry_space_group_name_H-M 'P 1'
_symmetry_Int_Tables_number 1
_symmetry_space_group_name_Hall 'P 1'
_cell_length_a 6.468
_cell_length_b 6.468
_cell_length_c 6.468
_cell_angle_alpha 28.47
_cell_angle_beta 28.47
_cell_angle_gamma 28.47
loop_
_atom_site_label
_atom_site_type_symbol
_atom_site_fract_x
_atom_site_fract_y
_atom_site_fract_z
N1 N 0.894 0.894 0.894
N2 N 0.106 0.106 0.106
Sb1 Sb 0.500 0.500 0.500
Al1 Al 0.000 0.000 0.000

---

Record 3
# Sr3Th2PaBi6, optimized geometry, DFT PBE-GGA
# - magnetic moment (μB/f.u.) = 0.75
# - energy of formation (eV/f.u.) = -8.3
# - energy (eV/atom) = -5.08
# - N(E_F) (states/eV per atom) = 0.444
data_Sr3Th2PaBi6
_chemical_formula_sum 'Sr3 Th2 Pa1 Bi6'
_symmetry_space_group_name_H-M 'P 1'
_symmetry_Int_Tables_number 1
_symmetry_space_group_name_Hall 'P 1'
_cell_length_a 8.099
_cell_length_b 8.099
_cell_length_c 8.232
_cell_angle_alpha 99.43
_cell_angle_beta 99.43
_cell_angle_gamma 120.01
loop_
_atom_site_label
_atom_site_type_symbol
_atom_site_fract_x
_atom_site_fract_y
_atom_site_fract_z
Bi1 Bi 0.924 0.597 0.771
Bi2 Bi 0.597 0.924 0.771
Bi3 Bi 0.403 0.076 0.229
Bi4 Bi 0.750 0.750 0.230
Bi5 Bi 0.076 0.403 0.229
Bi6 Bi 0.250 0.250 0.770
Sr1 Sr 0.169 0.831 0.500
Sr2 Sr 0.500 0.500 0.500
Sr3 Sr 0.831 0.169 0.500
Pa1 Pa 0.000 0.000 0.000
Th1 Th 0.666 0.334 0.000
Th2 Th 0.334 0.666 0.000

---

Record 4
# Li6Tl5Zn, optimized geometry, DFT PBE-GGA
# - magnetic moment (μB/f.u.) = 0.00
# - energy of formation (eV/f.u.) = -2.4
# - energy (eV/atom) = -2.25
# - N(E_F) (states/eV per atom) = 0.292
data_Li6Tl5Zn
_chemical_formula_sum 'Li6 Tl5 Zn1'
_symmetry_space_group_name_H-M 'P 1'
_symmetry_Int_Tables_number 1
_symmetry_space_group_name_Hall 'P 1'
_cell_length_a 4.888
_cell_length_b 6.700
_cell_length_c 8.436
_cell_angle_alpha 113.40
_cell_angle_beta 106.50
_cell_angle_gamma 90.00
loop_
_atom_site_label
_atom_site_type_symbol
_atom_site_fract_x
_atom_site_fract_y
_atom_site_fract_z
Zn1 Zn 0.000 0.000 0.000
Li1 Li 0.500 0.244 0.000
Li2 Li 0.836 0.591 0.673
Li3 Li 0.164 0.919 0.327
Li4 Li 0.836 0.081 0.673
Li5 Li 0.500 0.756 0.000
Li6 Li 0.164 0.409 0.327
Tl1 Tl 0.662 0.161 0.321
Tl2 Tl 0.331 0.332 0.665
Tl3 Tl 0.669 0.668 0.335
Tl4 Tl 0.338 0.839 0.679
Tl5 Tl 0.000 0.500 0.000

---

Record 5
# LaSnPt, optimized geometry, DFT PBE-GGA
# - magnetic moment (μB/f.u.) = 0.00
# - energy of formation (eV/f.u.) = -3.3
# - energy (eV/atom) = -6.08
# - N(E_F) (states/eV per atom) = 0.390
data_LaSnPt
_chemical_formula_sum 'La3 Sn3 Pt3'
_symmetry_space_group_name_H-M 'P 1'
_symmetry_Int_Tables_number 1
_symmetry_space_group_name_Hall 'P 1'
_cell_length_a 7.706
_cell_length_b 7.706
_cell_length_c 4.220
_cell_angle_alpha 90.00
_cell_angle_beta 90.00
_cell_angle_gamma 120.00
loop_
_atom_site_label
_atom_site_type_symbol
_atom_site_fract_x
_atom_site_fract_y
_atom_site_fract_z
Sn1 Sn 0.000 0.249 0.500
Sn2 Sn 0.249 0.000 0.500
Sn3 Sn 0.751 0.751 0.500
Pt1 Pt 0.000 0.000 0.000
Pt2 Pt 0.667 0.333 0.500
Pt3 Pt 0.333 0.667 0.500
La1 La 0.586 0.000 0.000
La2 La 0.414 0.414 0.000
La3 La 0.000 0.586 0.000

---

Record 6
# Cs3Ac2PuS6, optimized geometry, DFT PBE-GGA
# - magnetic moment (μB/f.u.) = 5.00
# - formation energy (no corrections) (eV per atom) = -1.736
# - energy (eV/atom) = -5.89
# - N(E_F) (states/eV per atom) = 1.054
data_Cs3Ac2PuS6
_chemical_formula_sum 'Cs3 Ac2 Pu1 S6'
_symmetry_space_group_name_H-M 'P 1'
_symmetry_Int_Tables_number 1
_symmetry_space_group_name_Hall 'P 1'
_cell_length_a 7.621
_cell_length_b 7.621
_cell_length_c 8.477
_cell_angle_alpha 98.63
_cell_angle_beta 98.63
_cell_angle_gamma 119.99
loop_
_atom_site_label
_atom_site_type_symbol
_atom_site_fract_x
_atom_site_fract_y
_atom_site_fract_z
Ac1 Ac 0.333 0.667 0.000
Ac2 Ac 0.667 0.333 0.000
Cs1 Cs 0.168 0.832 0.500
Cs2 Cs 0.832 0.168 0.500
Cs3 Cs 0.500 0.500 0.500
S1 S 0.745 0.745 0.188
S2 S 0.937 0.619 0.812
S3 S 0.063 0.381 0.188
S4 S 0.255 0.255 0.812
S5 S 0.619 0.937 0.812
S6 S 0.381 0.063 0.188
Pu1 Pu 0.000 0.000 0.000

---

Record 7
# Ce8Tl2Ru, optimized geometry, DFT PBE-GGA
# - magnetic moment (μB/f.u.) = 5.90
# - energy of formation (eV/f.u.) = -1.5
# - energy (eV/atom) = -5.72
# - N(E_F) (states/eV per atom) = 3.139
data_Ce8Tl2Ru
_chemical_formula_sum 'Ce8 Tl2 Ru1'
_symmetry_space_group_name_H-M 'P 1'
_symmetry_Int_Tables_number 1
_symmetry_space_group_name_Hall 'P 1'
_cell_length_a 5.454
_cell_length_b 6.696
_cell_length_c 9.114
_cell_angle_alpha 108.49
_cell_angle_beta 107.41
_cell_angle_gamma 90.00
loop_
_atom_site_label
_atom_site_type_symbol
_atom_site_fract_x
_atom_site_fract_y
_atom_site_fract_z
Ce1 Ce 0.351 0.087 0.702
Ce2 Ce 0.000 0.213 0.000
Ce3 Ce 0.208 0.191 0.415
Ce4 Ce 0.792 0.809 0.585
Ce5 Ce 0.592 0.401 0.184
Ce6 Ce 0.000 0.787 0.000
Ce7 Ce 0.649 0.913 0.298
Ce8 Ce 0.408 0.599 0.816
Ru1 Ru 0.500 0.000 0.000
Tl1 Tl 0.821 0.342 0.643
Tl2 Tl 0.179 0.658 0.357

---

Record 8
# Y2Er3Tm5, optimized geometry, DFT PBE-GGA
# - magnetic moment (μB/f.u.) = 0.38
# - energy of formation (eV/f.u.) = 0.6
# - energy (eV/atom) = -4.84
# - N(E_F) (states/eV per atom) = 2.108
# - ΔE to the lowest computed polymorph (eV per atom) = 0.000
data_Y2Er3Tm5
_chemical_formula_sum 'Y4 Er6 Tm10'
_symmetry_space_group_name_H-M 'P 1'
_symmetry_Int_Tables_number 1
_symmetry_space_group_name_Hall 'P 1'
_cell_length_a 6.513
_cell_length_b 11.630
_cell_length_c 11.630
_cell_angle_alpha 87.16
_cell_angle_beta 58.84
_cell_angle_gamma 58.84
loop_
_atom_site_label
_atom_site_type_symbol
_atom_site_fract_x
_atom_site_fract_y
_atom_site_fract_z
Tm1 Tm 0.000 0.711 0.787
Tm2 Tm 0.000 0.289 0.213
Tm3 Tm 0.379 0.774 0.473
Tm4 Tm 0.250 0.537 0.463
Tm5 Tm 0.121 0.527 0.226
Tm6 Tm 0.500 0.787 0.711
Tm7 Tm 0.500 0.213 0.289
Tm8 Tm 0.750 0.463 0.537
Tm9 Tm 0.879 0.473 0.774
Tm10 Tm 0.621 0.226 0.527
Er1 Er 0.374 0.376 0.874
Er2 Er 0.750 0.037 0.963
Er3 Er 0.126 0.126 0.624
Er4 Er 0.874 0.874 0.376
Er5 Er 0.626 0.624 0.126
Er6 Er 0.250 0.963 0.037
Y1 Y 0.630 0.027 0.721
Y2 Y 0.870 0.279 0.973
Y3 Y 0.130 0.721 0.027
Y4 Y 0.370 0.973 0.279

---

Record 9
# Cs3CaSn2Br9, optimized geometry, DFT PBE-GGA
# - magnetic moment (μB/f.u.) = 0.00
# - formation energy (no corrections) (eV per atom) = -1.461
# - energy (eV/atom) = -3.30
# - N(E_F) (states/eV per atom) = 0.000
data_Cs3CaSn2Br9
_chemical_formula_sum 'Cs3 Ca1 Sn2 Br9'
_symmetry_space_group_name_H-M 'P 1'
_symmetry_Int_Tables_number 1
_symmetry_space_group_name_Hall 'P 1'
_cell_length_a 8.296
_cell_length_b 8.296
_cell_length_c 10.149
_cell_angle_alpha 90.00
_cell_angle_beta 90.00
_cell_angle_gamma 120.00
loop_
_atom_site_label
_atom_site_type_symbol
_atom_site_fract_x
_atom_site_fract_y
_atom_site_fract_z
Sn1 Sn 0.333 0.667 0.168
Sn2 Sn 0.667 0.333 0.832
Cs1 Cs 0.000 0.000 0.000
Cs2 Cs 0.333 0.667 0.663
Cs3 Cs 0.667 0.333 0.337
Br1 Br 0.500 0.000 0.000
Br2 Br 0.164 0.836 0.336
Br3 Br 0.836 0.164 0.664
Br4 Br 0.671 0.836 0.336
Br5 Br 0.500 0.500 0.000
Br6 Br 0.836 0.671 0.664
Br7 Br 0.000 0.500 0.000
Br8 Br 0.329 0.164 0.664
Br9 Br 0.164 0.329 0.336
Ca1 Ca 0.000 0.000 0.500

---

Record 10
# PuTl2Pb, optimized geometry, DFT PBE-GGA
# - magnetic moment (μB/f.u.) = 5.75
# - energy of formation (eV/f.u.) = -0.3
# - energy (eV/atom) = -5.78
# - N(E_F) (states/eV per atom) = 2.930
# - ΔE to the lowest computed polymorph (eV per atom) = 0.000
data_PuTl2Pb
_chemical_formula_sum 'Pu1 Tl2 Pb1'
_symmetry_space_group_name_H-M 'P 1'
_symmetry_Int_Tables_number 1
_symmetry_space_group_name_Hall 'P 1'
_cell_length_a 4.956
_cell_length_b 4.732
_cell_length_c 4.732
_cell_angle_alpha 90.00
_cell_angle_beta 90.00
_cell_angle_gamma 90.00
loop_
_atom_site_label
_atom_site_type_symbol
_atom_site_fract_x
_atom_site_fract_y
_atom_site_fract_z
Pb1 Pb 0.500 0.500 0.500
Tl1 Tl 0.000 0.500 0.000
Tl2 Tl 0.000 0.000 0.500
Pu1 Pu 0.500 0.000 0.000